Below is an optimized crystal structure of V3Pd4, with properties calculated at the PBE level.

Cell: 12.6603 2.7201 6.6392 Å, 90.00 115.03 90.00°
Last column: nearest neighbours and their distance in Å.
Space group C2/m (No. 12)
One atom of each set of equivalent atoms:
1 V 0.0000 0.0000 0.0000 x2  6 Pd 2.49-2.77, 4 V 2.62-2.72
2 V 0.2272 0.0000 0.1483 x4  6 Pd 2.61-2.83, 5 V 2.62-2.72
3 Pd 0.0790 0.0000 0.7139 x4  4 V 2.49-2.69, 3 Pd 2.70-2.72
4 Pd 0.1407 0.5000 0.3849 x4  5 V 2.64-2.83, 8 Pd 2.72-2.95

## Properties
- ΔE_f (eV/atom) = -0.085
- final energy (eV/atom) = -6.96
- crystal system = monoclinic